w) Below is a geometry-optimized ZnPb2I structure, with properties calculated at the PBE level.

Computed properties:
SG: Fm-3m, No. 225

a = 5.549 Å, b = 5.549 Å, c = 5.549 Å
α = 60.00°, β = 60.00°, γ = 60.00°
Fractional positions:
Pb (0.250, 0.250, 0.250)
Pb (0.750, 0.750, 0.750)
I (0.500, 0.500, 0.500)
Zn (0.000, 0.000, 0.000)


x) Below is a geometry-optimized ZnPb2I structure, with properties calculated at the PBE level.

Computed properties:
SG: I-42d, No. 122

a = 6.835 Å, b = 6.835 Å, c = 8.522 Å
α = 66.36°, β = 66.36°, γ = 90.00°
Fractional positions:
Pb (0.552, 0.125, 0.250)
Pb (0.198, 0.625, 0.250)
Pb (0.375, 0.448, 0.750)
Pb (0.875, 0.802, 0.750)
I (0.000, 0.000, 0.000)
I (0.750, 0.250, 0.500)
Zn (0.500, 0.500, 0.000)
Zn (0.250, 0.750, 0.500)


Relative to the most stable one, in meV/atom, the structures come out at w) 0; x) 16.


w) Below is a geometry-optimized Zn2PbI structure, with properties calculated at the PBE level.

Computed properties:
SG: I-42d, No. 122

a = 6.662 Å, b = 6.662 Å, c = 7.829 Å
α = 64.82°, β = 64.82°, γ = 90.00°
Fractional positions:
Pb (0.000, 0.000, 0.000)
Pb (0.750, 0.250, 0.500)
I (0.500, 0.500, 0.000)
I (0.250, 0.750, 0.500)
Zn (0.649, 0.125, 0.250)
Zn (0.101, 0.625, 0.250)
Zn (0.375, 0.351, 0.750)
Zn (0.875, 0.899, 0.750)


x) Below is a geometry-optimized Zn2PbI structure, with properties calculated at the PBE level.

Computed properties:
SG: Fm-3m, No. 225

a = 5.348 Å, b = 5.348 Å, c = 5.348 Å
α = 60.00°, β = 60.00°, γ = 60.00°
Fractional positions:
Pb (0.500, 0.500, 0.500)
I (0.000, 0.000, 0.000)
Zn (0.250, 0.250, 0.250)
Zn (0.750, 0.750, 0.750)


Relative to the most stable one, in meV/atom, the structures come out at w) 0; x) 222.


w) Below is a geometry-optimized ZnPbI4 structure, with properties calculated at the PBE level.

Computed properties:
SG: I4_1/amd, No. 141

a = 8.784 Å, b = 8.784 Å, c = 8.783 Å
α = 73.72°, β = 73.72°, γ = 116.06°
Fractional positions:
Zn (0.625, 0.875, 0.750)
Zn (0.375, 0.125, 0.250)
Pb (0.875, 0.625, 0.250)
Pb (0.125, 0.375, 0.750)
I (0.250, 0.685, 0.935)
I (0.620, 0.685, 0.565)
I (0.185, 0.120, 0.065)
I (0.750, 0.315, 0.065)
I (0.185, 0.750, 0.435)
I (0.815, 0.880, 0.935)
I (0.380, 0.315, 0.435)
I (0.815, 0.250, 0.565)


x) Below is a geometry-optimized ZnPbI4 structure, with properties calculated at the PBE level.

Computed properties:
SG: P2_1/c, No. 14

a = 4.339 Å, b = 7.828 Å, c = 14.941 Å
α = 91.16°, β = 90.00°, γ = 90.00°
Fractional positions:
Zn (0.500, 0.500, 0.500)
Zn (0.000, 0.000, 0.000)
Pb (0.000, 0.000, 0.500)
Pb (0.500, 0.500, 0.000)
I (0.499, 0.204, 0.382)
I (0.999, 0.296, 0.118)
I (0.501, 0.796, 0.618)
I (0.001, 0.704, 0.882)
I (0.960, 0.640, 0.389)
I (0.460, 0.860, 0.111)
I (0.040, 0.360, 0.611)
I (0.540, 0.140, 0.889)


Relative to the most stable one, in meV/atom, the structures come out at w) 0; x) 10.


w) Below is a geometry-optimized Zn2Pb2I structure, with properties calculated at the PBE level.

Computed properties:
SG: P4/mbm, No. 127

a = 8.668 Å, b = 8.668 Å, c = 3.817 Å
α = 90.00°, β = 90.00°, γ = 90.00°
Fractional positions:
Pb (0.361, 0.861, 0.000)
Pb (0.861, 0.639, 0.000)
Pb (0.639, 0.139, 0.000)
Pb (0.139, 0.361, 0.000)
I (0.000, 0.000, 0.000)
I (0.500, 0.500, 0.000)
Zn (0.159, 0.659, 0.500)
Zn (0.659, 0.841, 0.500)
Zn (0.841, 0.341, 0.500)
Zn (0.341, 0.159, 0.500)


x) Below is a geometry-optimized Zn2Pb2I structure, with properties calculated at the PBE level.

Computed properties:
SG: P4/mbm, No. 127

a = 8.543 Å, b = 8.543 Å, c = 3.755 Å
α = 90.00°, β = 90.00°, γ = 90.00°
Fractional positions:
Pb (0.155, 0.655, 0.500)
Pb (0.655, 0.845, 0.500)
Pb (0.845, 0.345, 0.500)
Pb (0.345, 0.155, 0.500)
I (0.000, 0.000, 0.000)
I (0.500, 0.500, 0.000)
Zn (0.360, 0.860, 0.000)
Zn (0.860, 0.640, 0.000)
Zn (0.640, 0.140, 0.000)
Zn (0.140, 0.360, 0.000)


Relative to the most stable one, in meV/atom, the structures come out at w) 0; x) 28.


w) Below is a geometry-optimized Pr2PdI structure, with properties calculated at the PBE level.

Computed properties:
SG: R3m, No. 160

a = 4.283 Å, b = 4.283 Å, c = 8.567 Å
α = 75.52°, β = 75.52°, γ = 60.00°
Fractional positions:
Pr (0.064, 0.064, 0.809)
Pr (0.270, 0.270, 0.189)
Pd (0.667, 0.667, 0.999)
I (0.499, 0.499, 0.502)


x) Below is a geometry-optimized Pr2PdI structure, with properties calculated at the PBE level.

Computed properties:
SG: P4/mmm, No. 123

a = 3.667 Å, b = 3.667 Å, c = 8.441 Å
α = 90.00°, β = 90.00°, γ = 90.00°
Fractional positions:
Pr (0.000, 0.000, 0.787)
Pr (0.000, 0.000, 0.213)
I (0.500, 0.500, 0.500)
Pd (0.500, 0.500, 0.000)


y) Below is a geometry-optimized Pr2PdI structure, with properties calculated at the PBE level.

Computed properties:
SG: P-3m1, No. 164

a = 4.279 Å, b = 4.279 Å, c = 8.216 Å
α = 90.00°, β = 90.00°, γ = 60.00°
Fractional positions:
Pr (0.667, 0.667, 0.190)
Pr (0.333, 0.333, 0.810)
Pd (0.000, 0.000, 0.000)
I (0.000, 0.000, 0.500)


Relative to the most stable one, in meV/atom, the structures come out at w) 0; x) 150; y) 12.


w) Below is a geometry-optimized PdPt2I structure, with properties calculated at the PBE level.

Computed properties:
SG: I-42d, No. 122

a = 7.489 Å, b = 7.489 Å, c = 5.960 Å
α = 51.07°, β = 51.07°, γ = 90.00°
Fractional positions:
I (0.000, 0.000, 0.000)
I (0.750, 0.250, 0.500)
Pd (0.500, 0.500, 0.000)
Pd (0.250, 0.750, 0.500)
Pt (0.625, 0.125, 0.250)
Pt (0.125, 0.625, 0.250)
Pt (0.375, 0.375, 0.750)
Pt (0.875, 0.875, 0.750)


x) Below is a geometry-optimized PdPt2I structure, with properties calculated at the PBE level.

Computed properties:
SG: Fm-3m, No. 225

a = 4.664 Å, b = 4.664 Å, c = 4.664 Å
α = 60.00°, β = 60.00°, γ = 60.00°
Fractional positions:
I (0.500, 0.500, 0.500)
Pd (0.000, 0.000, 0.000)
Pt (0.250, 0.250, 0.250)
Pt (0.750, 0.750, 0.750)


Relative to the most stable one, in meV/atom, the structures come out at w) 0; x) 58.